Mn2ZnSi at its PBEsol-relaxed geometry, computed with SCAN.

For the uncorrected energy, the calculation gives -15.0590 eV per atom. Its spin magnetization is 1.84 μB/f.u. The value obtained for the volume is 11.401 A^3/atom.

The structure belongs to space group Imm2 (No. 44); the cell edges are 2.8409, 3.9596 and 8.1084 Å and the angles 90.00°, 90.00° and 90.00°. The distinct sites, in fractional coordinates, are Mn at (0.0000, 0.0000, 0.0000), Mn at (0.0000, 0.5000, 0.2640), Zn at (0.0000, 0.0000, 0.5018) and Si at (0.0000, 0.5000, 0.7384).

=====

TaCrSe at its PBEsol-relaxed geometry, computed with SCAN.

As for the energy above the most stable polymorph in this dataset: 697.9 meV per atom. Its spin magnetization is 0.00 μB/f.u. The value obtained for the volume is 17.556 A^3/atom.

The structure belongs to space group F-43m (No. 216); the cell edges are 5.9503, 5.9503 and 5.9503 Å and the angles 90.00°, 90.00° and 90.00°. The distinct sites, in fractional coordinates, are Ta at (0.0000, 0.0000, 0.0000), Cr at (0.2500, 0.2500, 0.7500) and Se at (0.2500, 0.2500, 0.2500).

=====

Re2Pt at its PBEsol-relaxed geometry, computed with SCAN.

As for the energy above the most stable polymorph in this dataset: 19.5 meV per atom. Its spin magnetization is 0.00 μB/f.u. The value obtained for the volume is 15.442 A^3/atom.

The structure belongs to space group I4/mcm (No. 140); the cell edges are 6.1190, 6.1190 and 4.9490 Å and the angles 90.00°, 90.00° and 90.00°. The distinct sites, in fractional coordinates, are Re at (0.1369, 0.3631, 0.0000) and Pt at (0.0000, 0.0000, 0.2500).

=====

Nb2PC at its PBEsol-relaxed geometry, computed with SCAN.

For the uncorrected energy, the calculation gives -22.4856 eV per atom. Its spin magnetization is 0.00 μB/f.u. The value obtained for the volume is 13.471 A^3/atom.

The structure belongs to space group P6_3/mmc (No. 194); the cell edges are 3.2784, 3.2784 and 11.5787 Å and the angles 90.00°, 90.00° and 120.00°. The distinct sites, in fractional coordinates, are Nb at (0.3333, 0.6667, 0.1001), P at (0.3333, 0.6667, 0.7500) and C at (0.0000, 0.0000, 0.0000).